(1)
AcDyCu | PBE | relaxed

- crystal system = cubic
- space group = F-43m
- formation energy from the elements (eV/atom) = 0.66

Lattice parameters (Å, degrees): 5.0276 5.0276 5.0276 60.00 60.00 60.00
With the nearest neighbours (Å) after each atom.
Element x y z (fractional)
1 Ac 0.2500 0.2500 0.2500  4 Dy 3.08
2 Cu 0.7500 0.7500 0.7500  4 Dy 3.08
3 Dy 0.0000 0.0000 0.0000  4 Cu 3.08, 4 Ac 3.08

***

(2)
Ac2Ga7Cu | PBE | relaxed

- crystal system = tetragonal
- space group = P-4m2

Lattice parameters (Å, degrees): 4.5048 4.5048 10.4014 90.00 90.00 90.00
With the nearest neighbours (Å) after each atom.
Element x y z (fractional)
1 Ac 0.5000 0.0000 0.2428  2 Cu 3.38, 15 Ga 3.38-3.79
2 Ac 0.0000 0.5000 0.7572  2 Cu 3.38, 15 Ga 3.38-3.79
3 Cu 0.0000 0.0000 0.0000  4 Ga 2.58
4 Ga 0.5000 0.5000 0.0000  4 Ga 2.58
5 Ga 0.0000 0.5000 0.1216  3 Ga 2.55-2.58, 2 Cu 2.58
6 Ga 0.0000 0.5000 0.3671  5 Ga 2.55-2.64
7 Ga 0.0000 0.0000 0.5000  4 Ga 2.64
8 Ga 0.5000 0.5000 0.5000  4 Ga 2.64
9 Ga 0.5000 0.0000 0.6329  5 Ga 2.55-2.64
10 Ga 0.5000 0.0000 0.8784  3 Ga 2.55-2.58, 2 Cu 2.58

***

(3)
Ac2Ga5Cu3 | PBE | relaxed

- crystal system = orthorhombic
- space group = Ibam

Lattice parameters (Å, degrees): 8.6833 8.6833 6.2208 110.98 110.98 73.89
With the nearest neighbours (Å) after each atom.
Element x y z (fractional)
1 Ac 0.8778 0.3761 0.1268  10 Ga 3.27-3.43, 6 Cu 3.35-3.42
2 Ac 0.6239 0.1222 0.3732  10 Ga 3.27-3.43, 6 Cu 3.35-3.42
3 Ac 0.3761 0.8778 0.6268  10 Ga 3.27-3.43, 6 Cu 3.35-3.42
4 Ac 0.1222 0.6239 0.8732  10 Ga 3.27-3.43, 6 Cu 3.35-3.42
5 Cu 0.4996 0.7495 0.1245  5 Ga 2.53-2.55
6 Cu 0.0000 0.0000 0.2500  4 Ga 2.55
7 Cu 0.2505 0.5004 0.3755  5 Ga 2.53-2.55
8 Cu 0.7495 0.4996 0.6245  5 Ga 2.53-2.55
9 Cu 0.0000 0.0000 0.7500  4 Ga 2.55
10 Cu 0.5004 0.2505 0.8755  5 Ga 2.53-2.55
11 Ga 0.2526 0.2523 0.0025  2 Cu 2.54, 2 Ga 2.67
12 Ga 0.2511 0.9850 0.1180  3 Cu 2.53-2.55, 2 Ga 2.67
13 Ga 0.5001 0.4999 0.2500  4 Cu 2.55
14 Ga 0.0150 0.7489 0.3820  3 Cu 2.53-2.55, 2 Ga 2.67
15 Ga 0.7477 0.7474 0.4975  2 Cu 2.54, 2 Ga 2.67
16 Ga 0.2523 0.2526 0.5025  2 Cu 2.54, 2 Ga 2.67
17 Ga 0.9850 0.2511 0.6180  3 Cu 2.53-2.55, 2 Ga 2.67
18 Ga 0.4999 0.5001 0.7500  4 Cu 2.55
19 Ga 0.7489 0.0150 0.8820  3 Cu 2.53-2.55, 2 Ga 2.67
20 Ga 0.7474 0.7477 0.9975  2 Cu 2.54, 2 Ga 2.67

***

(4)
AcGaCu | PBE | relaxed

- polymorph energy (0 for the lowest one) (meV per atom) = 0
- crystal system = cubic
- space group = F-43m

Lattice parameters (Å, degrees): 4.8392 4.8392 4.8392 60.00 60.00 60.00
With the nearest neighbours (Å) after each atom.
Element x y z (fractional)
1 Ac 0.2500 0.2500 0.2500  4 Ga 2.96
2 Cu 0.7500 0.7500 0.7500  4 Ga 2.96
3 Ga 0.0000 0.0000 0.0000  4 Cu 2.96, 4 Ac 2.96

***

(5)
AcGaCu | PBE | relaxed

- polymorph energy (0 for the lowest one) (meV per atom) = 312
- crystal system = cubic
- space group = F-43m

Lattice parameters (Å, degrees): 5.0498 5.0498 5.0498 60.00 60.00 60.00
With the nearest neighbours (Å) after each atom.
Element x y z (fractional)
1 Ac 0.0000 0.0000 0.0000  4 Ga 3.09, 4 Cu 3.09
2 Cu 0.2500 0.2500 0.2500  4 Ac 3.09
3 Ga 0.7500 0.7500 0.7500  4 Ac 3.09

***

(6)
AcGdCu | PBE | relaxed

- crystal system = cubic
- space group = F-43m
- formation energy from the elements (eV/atom) = 0.66

Lattice parameters (Å, degrees): 5.0407 5.0407 5.0407 60.00 60.00 60.00
With the nearest neighbours (Å) after each atom.
Element x y z (fractional)
1 Ac 0.2500 0.2500 0.2500  4 Gd 3.09
2 Cu 0.7500 0.7500 0.7500  4 Gd 3.09
3 Gd 0.0000 0.0000 0.0000  4 Ac 3.09, 4 Cu 3.09

***

Calculated electronic total energy in order - -3.477; -3.800; -3.909; -3.630; -3.317; -3.504 eV/atom
Calculated volume in order - 89.86; 211.08; 402.88; 80.13; 91.05; 90.56 Å³/cell